# LiPrVO4

Crystalline LiPrVO4 at its relaxed geometry (PBE with a Hubbard U, the Alexandria database).

Values from the calculation:
Calculated total energy ... -7.277 eV/atom

Unit cell a=5.791 b=5.562 c=6.540 alpha=90.00 beta=108.73 gamma=90.00
Space group P2_1/m (No. 11)
Asymmetric unit:
Li1 0.158 0.250 0.451 x2
Pr1 0.254 0.250 0.028 x2
V1 0.287 0.750 0.336 x2
O1 0.054 0.512 0.244 x4
O2 0.441 0.750 0.128 x2
O3 0.496 0.250 0.400 x2